A plane-wave DFT calculation with GGA-PBE was carried out for an optimized crystal structure of Mg2ReS.

Cell lengths 8.374, 8.374, 4.480 Å; angles 90.00, 90.00, 90.00 degrees
Space group I-42d (No. 122)
One atom of each set of equivalent atoms:
Mg  0.148  0.250  0.125
Re  0.000  0.000  0.500
S  0.000  0.000  0.000

Values from the calculation:
Total moment (Bohr magnetons per cell): 0.45
Formation energy (no corrections) (meV/atom): 428.0

=====

A plane-wave DFT calculation with GGA-PBE was carried out for an optimized crystal structure of Pr2GeIr.

Cell lengths 5.971, 4.276, 8.382 Å; angles 90.00, 109.44, 90.00 degrees
Space group P2_1/m (No. 11)
One atom of each set of equivalent atoms:
Pr  0.187  0.250  0.412
Pr  0.275  0.750  0.058
Ge  0.364  0.750  0.707
Ir  0.146  0.250  0.786

Values from the calculation:
Energy of formation (eV/atom): -0.724
Total moment (Bohr magnetons per cell): 0.00

=====

A plane-wave DFT calculation with GGA-PBE was carried out for an optimized crystal structure of Li2Mg4Hg5.

Cell lengths 14.354, 4.753, 6.860 Å; angles 90.00, 90.09, 90.00 degrees
Space group C2/m (No. 12)
One atom of each set of equivalent atoms:
Li  0.164  0.000  0.253
Mg  0.000  0.500  0.261
Mg  0.158  0.000  0.739
Hg  0.000  0.000  0.000
Hg  0.169  0.500  0.494
Hg  0.172  0.500  0.009

Values from the calculation:
Energy of formation (eV/atom): -0.251
Total moment (Bohr magnetons per cell): 0.00

=====

A plane-wave DFT calculation with GGA-PBE was carried out for an optimized crystal structure of Ba2AgHBr.

Cell lengths 6.358, 6.358, 4.185 Å; angles 90.00, 90.00, 90.00 degrees
Space group P4/mmm (No. 123)
One atom of each set of equivalent atoms:
Ba  0.000  0.500  0.000
Ag  0.000  0.000  0.500
H  0.500  0.500  0.500
Br  0.500  0.500  0.000

Values from the calculation:
Total moment (Bohr magnetons per cell): 0.06
Final energy (eV per atom): -2.5468

=====

A plane-wave DFT calculation with GGA-PBE was carried out for an optimized crystal structure of TlHgF3.

Cell lengths 4.623, 4.624, 4.626 Å; angles 90.01, 90.10, 90.58 degrees
Space group P1 (No. 1)
One atom of each set of equivalent atoms:
Tl  0.000  0.000  0.000
Hg  0.459  0.459  0.542
F  0.408  0.949  0.590
F  0.409  0.411  0.051
F  0.949  0.407  0.588

Values from the calculation:
Total moment (Bohr magnetons per cell): 0.00
Formation energy (no corrections) (meV/atom): -1576.2

=====

A plane-wave DFT calculation with GGA-PBE was carried out for an optimized crystal structure of Ce3ScO6.

Cell lengths 9.8930, 9.8930, 11.2798 Å; angles 90.00, 90.00, 120.00 degrees
Space group R-3 (No. 148, hexagonal axes)
One atom of each set of equivalent atoms:
Ce  0.0401  0.2649  0.2049
Sc  0.0000  0.0000  0.0000
Sc  0.0000  0.0000  0.5000
O  0.0274  0.1840  0.8837
O  0.0320  0.2062  0.4044

Values from the calculation:
Total moment (Bohr magnetons per cell): 18.10
Formation energy (no corrections) (meV/atom): -3354.3

=====

A plane-wave DFT calculation with GGA-PBE was carried out for an optimized crystal structure of HgMoRh4.

Cell lengths 7.259, 7.259, 7.259 Å; angles 90.00, 90.00, 90.00 degrees
Space group F-43m (No. 216)
One atom of each set of equivalent atoms:
Hg  0.000  0.000  0.000
Mo  0.250  0.250  0.250
Rh  0.125  0.125  0.625

Values from the calculation:
Energy of formation (eV/atom): 0.258
Total moment (Bohr magnetons per cell): 0.00

=====

A plane-wave DFT calculation with GGA-PBE was carried out for an optimized crystal structure of SiGeSe2.

Cell lengths 3.5242, 3.5242, 25.3426 Å; angles 90.00, 90.00, 120.00 degrees
Space group R-3m (No. 166, hexagonal axes)
One atom of each set of equivalent atoms:
Si  0.0000  0.0000  0.0000
Ge  0.0000  0.0000  0.5000
Se  0.0000  0.0000  0.3904

Values from the calculation:
Total moment (Bohr magnetons per cell): 0.00
Formation energy (no corrections) (meV/atom): -6.9

=====

A plane-wave DFT calculation with GGA-PBE was carried out for an optimized crystal structure of Tl2CdHg6.

Cell lengths 9.3107, 9.3107, 3.3465 Å; angles 90.00, 90.00, 120.00 degrees
Space group P-31m (No. 162)
One atom of each set of equivalent atoms:
Tl  0.3333  0.6667  0.0000
Cd  0.0000  0.0000  0.5000
Hg  0.0000  0.3305  0.6522

Values from the calculation:
Energy of formation (eV/atom): 0.004
Total moment (Bohr magnetons per cell): 0.00
Energy above the most stable polymorph in this dataset (meV/atom): 0

=====

A plane-wave DFT calculation with GGA-PBE was carried out for an optimized crystal structure of Tb2GaSi2Ru5.

Cell lengths 9.978, 9.978, 3.244 Å; angles 90.00, 90.00, 90.00 degrees
Space group P4/mbm (No. 127)
One atom of each set of equivalent atoms:
Tb  0.173  0.327  0.000
Ga  0.000  0.000  0.000
Si  0.128  0.628  0.000
Ru  0.000  0.500  0.500
Ru  0.067  0.793  0.500

Values from the calculation:
Total moment (Bohr magnetons per cell): 0.00
Formation energy (no corrections) (meV/atom): -614.4

=====

A plane-wave DFT calculation with GGA-PBE was carried out for an optimized crystal structure of FeCo4Sn.

Cell lengths 6.726, 6.726, 6.726 Å; angles 90.00, 90.00, 90.00 degrees
Space group F-43m (No. 216)
One atom of each set of equivalent atoms:
Fe  0.000  0.000  0.000
Co  0.125  0.125  0.625
Sn  0.250  0.250  0.250

Values from the calculation:
Energy of formation (eV/atom): 0.121
Total moment (Bohr magnetons per cell): 31.86

=====

A plane-wave DFT calculation with GGA-PBE was carried out for an optimized crystal structure of BaFe2Co.

Cell lengths 6.581, 6.581, 6.581 Å; angles 90.00, 90.00, 90.00 degrees
Space group F-43m (No. 216)
One atom of each set of equivalent atoms:
Ba  0.000  0.000  0.000
Fe  0.000  0.000  0.500
Fe  0.250  0.250  0.250
Co  0.250  0.250  0.750

Values from the calculation:
Energy of formation (eV/atom): 1.046
Total moment (Bohr magnetons per cell): 24.11
Energy above the most stable polymorph in this dataset (meV/atom): 719

=====

A plane-wave DFT calculation with GGA-PBE was carried out for an optimized crystal structure of K2GaSbTe4.

Cell lengths 10.371, 9.592, 7.118 Å; angles 90.00, 90.00, 90.00 degrees
Space group Pmn2_1 (No. 31)
One atom of each set of equivalent atoms:
K  0.243  0.161  0.000
Ga  0.000  0.355  0.552
Sb  0.000  0.680  0.041
Te  0.000  0.402  0.926
Te  0.000  0.620  0.431
Te  0.213  0.210  0.492

Values from the calculation:
Total moment (Bohr magnetons per cell): 0.00
Formation energy (no corrections) (meV/atom): -518.4

=====

A plane-wave DFT calculation with GGA-PBE was carried out for an optimized crystal structure of GaNi3Os.

Cell lengths 4.209, 4.209, 4.209 Å; angles 90.00, 90.00, 90.00 degrees
Space group Pm-3m (No. 221)
One atom of each set of equivalent atoms:
Ga  0.000  0.000  0.000
Ni  0.000  0.000  0.500
Os  0.500  0.500  0.500

Values from the calculation:
Energy of formation (eV/atom): 1.244
Total moment (Bohr magnetons per cell): 2.49
Energy above the most stable polymorph in this dataset (meV/atom): 5

=====

A plane-wave DFT calculation with GGA-PBE was carried out for an optimized crystal structure of Sb3PbBr.

Cell lengths 5.544, 5.544, 5.544 Å; angles 90.00, 90.00, 90.00 degrees
Space group Pm-3m (No. 221)
One atom of each set of equivalent atoms:
Sb  0.000  0.000  0.500
Pb  0.500  0.500  0.500
Br  0.000  0.000  0.000

Values from the calculation:
Total moment (Bohr magnetons per cell): 0.00
Energy above the most stable polymorph in this dataset (meV/atom): 0
Formation energy (no corrections) (meV/atom): 725.8

=====

A plane-wave DFT calculation with GGA-PBE was carried out for an optimized crystal structure of ErScCoHg.

Cell lengths 3.309, 3.309, 7.296 Å; angles 90.00, 90.00, 90.00 degrees
Space group P4mm (No. 99)
One atom of each set of equivalent atoms:
Er  0.000  0.000  0.000
Sc  0.000  0.000  0.569
Co  0.500  0.500  0.766
Hg  0.500  0.500  0.303

Values from the calculation:
Energy of formation (eV/atom): -0.373
Total moment (Bohr magnetons per cell): 0.36
Energy above the most stable polymorph in this dataset (meV/atom): 0

=====

A plane-wave DFT calculation with GGA-PBE was carried out for an optimized crystal structure of Na2Al2GeAu5.

Cell lengths 11.559, 11.559, 2.973 Å; angles 90.00, 90.00, 90.00 degrees
Space group P4/mbm (No. 127)
One atom of each set of equivalent atoms:
Na  0.171  0.329  0.000
Al  0.133  0.633  0.000
Ge  0.000  0.000  0.000
Au  0.000  0.500  0.500
Au  0.073  0.808  0.500

Values from the calculation:
Energy of formation (eV/atom): -0.319
Total moment (Bohr magnetons per cell): 0.00

=====

A plane-wave DFT calculation with GGA-PBE was carried out for an optimized crystal structure of Ge2Pt.

Cell lengths 5.830, 6.300, 2.965 Å; angles 90.00, 90.00, 90.00 degrees
Space group Pnnm (No. 58)
One atom of each set of equivalent atoms:
Ge  0.167  0.129  0.000
Pt  0.000  0.500  0.000

Values from the calculation:
Energy of formation (eV/atom): -0.351
Total moment (Bohr magnetons per cell): 0.00

=====

A plane-wave DFT calculation with GGA-PBE was carried out for an optimized crystal structure of Sb2Te3.

Cell lengths 15.169, 4.309, 10.578 Å; angles 90.00, 96.03, 90.00 degrees
Space group C2/m (No. 12)
One atom of each set of equivalent atoms:
Sb  0.115  0.000  0.452
Sb  0.198  0.500  0.140
Te  0.029  0.500  0.288
Te  0.123  0.000  0.962
Te  0.219  0.500  0.658

Values from the calculation:
Total moment (Bohr magnetons per cell): 0.00
Formation energy (no corrections) (meV/atom): -118.0

=====

A plane-wave DFT calculation with GGA-PBE was carried out for an optimized crystal structure of Ho2IrAu.

Cell lengths 3.503, 3.503, 7.012 Å; angles 90.00, 90.00, 90.00 degrees
Space group P4/mmm (No. 123)
One atom of each set of equivalent atoms:
Ho  0.000  0.000  0.233
Ir  0.500  0.500  0.000
Au  0.500  0.500  0.500

Values from the calculation:
Energy of formation (eV/atom): -0.861
Total moment (Bohr magnetons per cell): 0.00